(1)
CaY2NbPt PBE-GGA optimized geometry; total magnetic moment = 2.107 μB per cell; mass density = 6.0 g cm⁻³; total energy = -5.001 eV per atom; energy relative to the elements = 1207 meV per atom
1.0
-2.682 -1.795 4.378
-3.712 -1.142 -2.742
2.086 -4.965 -0.758
Y Nb Ca Pt
2 1 1 1
Direct
0.000 0.000 0.500
0.500 0.000 0.000
0.500 0.500 0.500
0.000 0.000 0.000
0.000 0.500 0.000

(2)
Cs2Ce2NiSe6 PBE-GGA optimized geometry; total magnetic moment = 2.245 μB per cell; energy relative to the elements, uncorrected = -1.21 eV/atom; mass density = 4.8 g cm⁻³; total energy = -4.871 eV per atom
1.0
7.070 0.026 0.051
-3.472 6.159 0.051
-1.297 -2.229 8.511
Cs Ce Ni Se
2 2 1 6
Direct
0.830 0.170 0.000
0.170 0.830 0.000
0.332 0.668 0.500
0.668 0.332 0.500
0.000 0.000 0.500
0.754 0.754 0.672
0.063 0.371 0.676
0.246 0.246 0.328
0.371 0.063 0.676
0.937 0.629 0.324
0.629 0.937 0.324